18
Lattice="-4.576 5.976 0.566 -3.832 -3.465 5.602 2.202 5.961 5.193" Properties=species:S:1:pos:R:3 comment="Dy5Si2Se2 (PBE, relaxed)" sg=Cmce crystal_system=orthorhombic final_energy_ev_per_cell=-102.41 pbc="T T T"
Dy 0.000 0.000 0.000
Dy -4.204 1.256 3.084
Dy -1.146 6.577 5.005
Dy -5.247 6.276 8.937
Dy -2.316 3.869 7.714
Dy -4.077 8.983 6.228
Dy -5.060 1.896 6.356
Dy -0.960 2.197 2.424
Dy -3.891 4.604 3.647
Dy -2.129 -0.510 5.133
Si -2.013 -0.540 2.167
Si -6.396 3.052 4.000
Si -5.059 -0.797 5.108
Si -3.350 3.308 1.060
Se 0.395 4.765 3.217
Se -3.809 6.021 6.301
Se -2.769 7.173 2.542
Se -2.397 2.452 5.060